Entry 1:
DFT (meta-GGA SCAN) results for a PBEsol-optimized structure of LiP2RhO.

a = 4.467 Å, b = 4.467 Å, c = 3.076 Å
α = 90.00°, β = 90.00°, γ = 90.00°
Positions (direct):
Li (0.000, 0.000, 0.000)
P (0.000, 0.500, 0.000)
P (0.500, 0.000, 0.000)
Rh (0.500, 0.500, 0.500)
O (0.000, 0.000, 0.500)

Summary:
**D(E_F)**: 3.4 states/eV/f.u.
**Uncorrected formation energy**: 0.481 eV/atom
**Relative energy among the computed polymorphs**: 361 meV per atom
**Magnetic moment**: 0.0 Bohr magnetons per cell

=====

Entry 2:
DFT (meta-GGA SCAN) results for a PBEsol-optimized structure of NaCa3Zn.

a = 5.757 Å, b = 5.757 Å, c = 5.757 Å
α = 90.00°, β = 90.00°, γ = 90.00°
Positions (direct):
Na (0.000, 0.000, 0.000)
Ca (0.000, 0.500, 0.500)
Ca (0.500, 0.000, 0.500)
Ca (0.500, 0.500, 0.000)
Zn (0.500, 0.500, 0.500)

Summary:
**D(E_F)**: 4.1 states/eV/f.u.
**Magnetic moment**: 0.3 Bohr magnetons per cell
**ΔH_f (0 K)**: -0.01 eV per atom

=====

Entry 3:
DFT (meta-GGA SCAN) results for a PBEsol-optimized structure of Tb2MgCu2.

a = 7.580 Å, b = 7.580 Å, c = 3.586 Å
α = 90.00°, β = 90.00°, γ = 90.00°
Positions (direct):
Tb (0.169, 0.331, 0.000)
Tb (0.331, 0.831, 0.000)
Tb (0.669, 0.169, 0.000)
Tb (0.831, 0.669, 0.000)
Mg (0.000, 0.000, 0.500)
Mg (0.500, 0.500, 0.500)
Cu (0.122, 0.622, 0.500)
Cu (0.378, 0.122, 0.500)
Cu (0.622, 0.878, 0.500)
Cu (0.878, 0.378, 0.500)

Summary:
**D(E_F)**: 4.1 states/eV/f.u.
**Magnetic moment**: 0.0 Bohr magnetons per cell
**ΔH_f (0 K)**: -0.28 eV per atom

=====

Entry 4:
DFT (meta-GGA SCAN) results for a PBEsol-optimized structure of Zr3MnCd.

a = 5.142 Å, b = 5.142 Å, c = 5.142 Å
α = 90.00°, β = 90.00°, γ = 90.00°
Positions (direct):
Zr (0.000, 0.000, 0.500)
Zr (0.000, 0.500, 0.000)
Zr (0.500, 0.000, 0.000)
Mn (0.500, 0.500, 0.500)
Cd (0.000, 0.000, 0.000)

Summary:
**D(E_F)**: 5.1 states/eV/f.u.
**Magnetic moment**: 4.8 Bohr magnetons per cell
**ΔH_f (0 K)**: 1.08 eV per atom

=====

Entry 5:
DFT (meta-GGA SCAN) results for a PBEsol-optimized structure of NaHfNi3.

a = 4.607 Å, b = 4.607 Å, c = 4.607 Å
α = 90.00°, β = 90.00°, γ = 90.00°
Positions (direct):
Na (0.000, 0.000, 0.000)
Hf (0.500, 0.500, 0.500)
Ni (0.000, 0.500, 0.500)
Ni (0.500, 0.000, 0.500)
Ni (0.500, 0.500, 0.000)

Summary:
**D(E_F)**: 2.5 states/eV/f.u.
**Magnetic moment**: 0.0 Bohr magnetons per cell
**ΔH_f (0 K)**: 0.98 eV per atom

=====

Entry 6:
DFT (meta-GGA SCAN) results for a PBEsol-optimized structure of YTa3C.

a = 4.404 Å, b = 4.404 Å, c = 4.404 Å
α = 90.00°, β = 90.00°, γ = 90.00°
Positions (direct):
Y (0.000, 0.000, 0.000)
Ta (0.000, 0.500, 0.500)
Ta (0.500, 0.000, 0.500)
Ta (0.500, 0.500, 0.000)
C (0.500, 0.500, 0.500)

Summary:
**D(E_F)**: 5.3 states/eV/f.u.
**Magnetic moment**: 0.0 Bohr magnetons per cell
**ΔH_f (0 K)**: 0.08 eV per atom

=====

Entry 7:
DFT (meta-GGA SCAN) results for a PBEsol-optimized structure of TiTc3Bi.

a = 4.837 Å, b = 4.837 Å, c = 4.837 Å
α = 90.00°, β = 90.00°, γ = 90.00°
Positions (direct):
Ti (0.000, 0.000, 0.000)
Tc (0.000, 0.500, 0.500)
Tc (0.500, 0.000, 0.500)
Tc (0.500, 0.500, 0.000)
Bi (0.500, 0.500, 0.500)

Summary:
**D(E_F)**: 4.5 states/eV/f.u.
**Magnetic moment**: 3.3 Bohr magnetons per cell
**ΔH_f (0 K)**: 2.23 eV per atom

=====

Entry 8:
DFT (meta-GGA SCAN) results for a PBEsol-optimized structure of LiTeO2.

a = 5.896 Å, b = 5.896 Å, c = 5.896 Å
α = 36.03°, β = 36.03°, γ = 36.03°
Positions (direct):
Li (0.000, 0.000, 0.000)
Te (0.500, 0.500, 0.500)
O (0.109, 0.109, 0.109)
O (0.891, 0.891, 0.891)

Summary:
**D(E_F)**: 1.2 states/eV/f.u.
**Uncorrected formation energy**: -0.933 eV/atom
**Magnetic moment**: 0.0 Bohr magnetons per cell

=====

Entry 9:
DFT (meta-GGA SCAN) results for a PBEsol-optimized structure of NaTcSb2I.

a = 5.289 Å, b = 5.289 Å, c = 5.468 Å
α = 90.00°, β = 90.00°, γ = 90.00°
Positions (direct):
Na (0.000, 0.000, 0.000)
Tc (0.500, 0.500, 0.500)
Sb (0.000, 0.500, 0.000)
Sb (0.500, 0.000, 0.000)
I (0.000, 0.000, 0.500)

Summary:
**D(E_F)**: 3.4 states/eV/f.u.
**Uncorrected formation energy**: 1.326 eV/atom
**Magnetic moment**: 3.9 Bohr magnetons per cell

=====

Entry 10:
DFT (meta-GGA SCAN) results for a PBEsol-optimized structure of Pb2Au.

a = 7.814 Å, b = 7.814 Å, c = 4.306 Å
α = 90.00°, β = 90.00°, γ = 120.00°
Positions (direct):
Pb (0.000, 0.402, 0.000)
Pb (0.000, 0.738, 0.500)
Pb (0.262, 0.262, 0.500)
Pb (0.402, 0.000, 0.000)
Pb (0.598, 0.598, 0.000)
Pb (0.738, 0.000, 0.500)
Au (0.000, 0.000, 0.000)
Au (0.333, 0.667, 0.500)
Au (0.667, 0.333, 0.500)

Summary:
**D(E_F)**: 1.3 states/eV/f.u.
**Magnetic moment**: 0.0 Bohr magnetons per cell
**ΔH_f (0 K)**: -0.06 eV per atom

=====

Entry 11:
DFT (meta-GGA SCAN) results for a PBEsol-optimized structure of SnHgC2.

a = 6.220 Å, b = 6.220 Å, c = 6.220 Å
α = 131.75°, β = 131.75°, γ = 70.62°
Positions (direct):
Sn (0.000, 0.000, 0.000)
Sn (0.750, 0.250, 0.500)
Hg (0.250, 0.750, 0.500)
Hg (0.500, 0.500, 0.000)
C (0.114, 0.625, 0.989)
C (0.375, 0.364, 0.489)
C (0.636, 0.125, 0.011)
C (0.875, 0.886, 0.511)

Summary:
**D(E_F)**: 1.6 states/eV/f.u.
**Magnetic moment**: 0.0 Bohr magnetons per cell
**ΔH_f (0 K)**: 1.63 eV per atom

=====

Entry 12:
DFT (meta-GGA SCAN) results for a PBEsol-optimized structure of Y2ScAl.

a = 4.633 Å, b = 4.633 Å, c = 4.533 Å
α = 90.00°, β = 90.00°, γ = 90.00°
Positions (direct):
Y (0.000, 0.500, 0.000)
Y (0.500, 0.000, 0.000)
Sc (0.000, 0.000, 0.500)
Al (0.500, 0.500, 0.500)

Summary:
**D(E_F)**: 3.2 states/eV/f.u.
**Magnetic moment**: 1.3 Bohr magnetons per cell
**ΔH_f (0 K)**: -0.21 eV per atom